First-principles (PBE) data for La3BiN after structural relaxation, as listed in Alexandria via LeMat-Bulk. Values from VASP.

Values from the calculation:
N(E_F): 0.655 states/eV/atom
E_form (uncorrected): -0.88 eV/atom

Cell and atoms, written as Quantum ESPRESSO input:
```
&SYSTEM
  ibrav = 0, nat = 20, ntyp = 3
/
ATOMIC_SPECIES
La 138.91 La.upf
Bi 208.98 Bi.upf
N 14.01 N.upf
CELL_PARAMETERS angstrom
6.226 0.000 0.000
0.000 13.652 0.000
0.000 0.000 7.377
ATOMIC_POSITIONS crystal
La 0.001 0.116 0.084
La 0.001 0.384 0.084
La 0.024 0.750 0.404
La 0.476 0.250 0.904
La 0.499 0.616 0.584
La 0.499 0.884 0.584
La 0.501 0.116 0.416
La 0.501 0.384 0.416
La 0.524 0.750 0.096
La 0.976 0.250 0.596
La 0.999 0.616 0.916
La 0.999 0.884 0.916
Bi 0.000 0.000 0.500
Bi 0.000 0.500 0.500
Bi 0.500 0.000 0.000
Bi 0.500 0.500 0.000
N 0.083 0.250 0.905
N 0.417 0.750 0.405
N 0.583 0.250 0.595
N 0.917 0.750 0.095
```